Computed, not measured: TbFe4W after structural relaxation at the PBE-GGA level of DFT.

a b c (Å): 4.942 4.942 4.942
angles (deg): 60.00 60.00 60.00
Last column: magnetic moment on the atom in μB.
Sites, in units of the cell vectors:
Fe (0.624, 0.624, 0.624)  1.85
Fe (0.624, 0.128, 0.624)  1.85
Fe (0.128, 0.624, 0.624)  1.85
Fe (0.624, 0.624, 0.128)  1.85
W (0.250, 0.250, 0.250)  -0.66
Tb (0.000, 0.000, 0.000)  -0.26

N(E_F) = 1.05 states/eV/atom
Space group = F-43m (216)
ΔE_f = 140 meV/atom



Computed, not measured: Pm6PrIr4 after structural relaxation at the PBE-GGA level of DFT.

a b c (Å): 7.598 7.598 7.598
angles (deg): 90.14 119.92 119.92
Sites, in units of the cell vectors:
Pm (0.677, 0.149, 0.149)
Pm (0.500, 0.000, 0.500)
Pm (0.000, 0.851, 0.528)
Pm (0.323, 0.472, 0.472)
Pm (0.500, 0.500, 0.000)
Pm (0.000, 0.528, 0.851)
Pr (0.000, 0.000, 0.000)
Ir (0.000, 0.209, 0.633)
Ir (0.576, 0.367, 0.367)
Ir (0.424, 0.791, 0.791)
Ir (0.000, 0.633, 0.209)

N(E_F) = 0.81 states/eV/atom
Space group = I-42m (121)
ΔE_f = -460 meV/atom



Computed, not measured: TaBe2Tl after structural relaxation at the PBE-GGA level of DFT.

a b c (Å): 8.812 8.812 8.812
angles (deg): 19.31 19.31 19.31
Sites, in units of the cell vectors:
Be (0.986, 0.986, 0.986)
Be (0.259, 0.259, 0.259)
Tl (0.743, 0.743, 0.743)
Ta (0.512, 0.512, 0.512)

Polymorph energy (0 for the lowest one) = 376 meV/atom
N(E_F) = 0.81 states/eV/atom
Space group = R3m (160)
ΔE_f = 733 meV/atom



Computed, not measured: LiHf2FeAu after structural relaxation at the PBE-GGA level of DFT.

a b c (Å): 5.110 4.723 5.110
angles (deg): 90.00 90.00 90.00
Sites, in units of the cell vectors:
Hf (0.000, 0.000, 0.500)
Hf (0.500, 0.000, 0.000)
Fe (0.000, 0.500, 0.000)
Li (0.500, 0.500, 0.500)
Au (0.000, 0.000, 0.000)

N(E_F) = 2.13 states/eV/atom
Space group = P4/mmm (123)
ΔE_f = 1122 meV/atom



Computed, not measured: Sr2AgAs2 after structural relaxation at the PBE-GGA level of DFT.

a b c (Å): 7.715 7.715 4.488
angles (deg): 90.00 90.00 90.00
Sites, in units of the cell vectors:
Sr (0.681, 0.819, 0.500)
Sr (0.181, 0.681, 0.500)
Sr (0.319, 0.181, 0.500)
Sr (0.819, 0.319, 0.500)
Ag (0.500, 0.500, 0.000)
Ag (0.000, 0.000, 0.000)
As (0.883, 0.617, 0.000)
As (0.617, 0.117, 0.000)
As (0.383, 0.883, 0.000)
As (0.117, 0.383, 0.000)

Polymorph energy (0 for the lowest one) = 92 meV/atom
N(E_F) = 0.25 states/eV/atom
Space group = P4/mbm (127)
ΔE_f = -735 meV/atom



Computed, not measured: Pr2Y6Zn after structural relaxation at the PBE-GGA level of DFT.

a b c (Å): 5.479 9.828 10.332
angles (deg): 90.00 89.99 90.00
Sites, in units of the cell vectors:
Y (0.500, 0.865, 0.398)
Y (0.500, 0.191, 0.927)
Y (0.500, 0.514, 0.313)
Y (0.500, 0.135, 0.602)
Y (0.000, 0.986, 0.813)
Y (0.000, 0.635, 0.898)
Y (0.000, 0.691, 0.573)
Y (0.500, 0.486, 0.687)
Y (0.000, 0.014, 0.187)
Y (0.500, 0.809, 0.073)
Y (0.000, 0.365, 0.102)
Y (0.000, 0.309, 0.427)
Pr (0.500, 0.188, 0.250)
Pr (0.500, 0.812, 0.750)
Pr (0.000, 0.688, 0.250)
Pr (0.000, 0.312, 0.750)
Zn (0.000, 0.000, 0.500)
Zn (0.500, 0.500, 0.000)

N(E_F) = 1.53 states/eV/atom
Space group = Pnnm (58)
ΔE_f = 21 meV/atom



Question: Among the records above, which one has the highest ΔE_f?
Answer: LiHf2FeAu



Question: Look up the ΔE_f of the first one.
Answer: 140 meV/atom